# 1
A relaxed Cu2Si2Au crystal. Source: Alexandria, functional GGA-PBE.

## Properties
The formation energy (no corrections) comes out at 0.13 eV/atom. As for the calculated volume: 14.7 A^3/atom. The density of states at the Fermi level comes out at 1.71 states/eV/f.u.

extended XYZ file:
```
10
Lattice="3.513 0.000 0.000 0.000 3.513 0.000 0.000 0.000 11.948" Properties=species:S:1:pos:R:3 pbc="T T T"
Cu 0.000 0.000 1.258
Cu 0.000 0.000 10.690
Cu 1.756 1.756 4.716
Cu 1.756 1.756 7.232
Si 0.000 1.756 2.987
Si 0.000 1.756 8.961
Si 1.756 0.000 2.987
Si 1.756 0.000 8.961
Au 0.000 0.000 5.974
Au 1.756 1.756 0.000
```

***

# 2
A relaxed NaNi4H8 crystal. Source: Alexandria, functional GGA-PBE.

## Properties
The final energy is -52.5 eV/cell. As for the calculated volume: 9.6 A^3/atom. The density of states at the Fermi level comes out at 2.51 states/eV/f.u.

extended XYZ file:
```
13
Lattice="4.442 -2.561 0.000 4.442 2.561 0.000 -4.182 0.000 5.483" Properties=species:S:1:pos:R:3 pbc="T T T"
Na 0.000 0.000 0.000
Ni 2.351 1.272 2.741
Ni 0.135 0.000 2.812
Ni 4.567 0.000 2.671
Ni 2.351 -1.272 2.741
H -1.346 0.000 1.961
H 0.875 1.260 1.913
H 3.827 1.260 3.570
H 1.626 0.000 3.613
H 3.077 0.000 1.870
H 0.875 -1.260 1.913
H 3.827 -1.260 3.570
H 6.049 0.000 3.522
```

***

# 3
A relaxed ErCu3Se2ClO8 crystal. Source: Alexandria, functional GGA-PBE.

## Properties
The formation energy (no corrections) comes out at -1.19 eV/atom. As for the calculated volume: 14.2 A^3/atom. The density of states at the Fermi level comes out at 0.24 states/eV/f.u.

extended XYZ file:
```
30
Lattice="6.352 0.000 0.000 0.000 9.522 0.000 0.000 0.000 7.028" Properties=species:S:1:pos:R:3 pbc="T T T"
Er 1.588 2.381 1.645
Er 4.764 7.142 5.383
Cu 0.000 0.000 3.514
Cu 0.000 4.761 3.514
Cu 1.588 2.381 4.953
Cu 3.176 0.000 3.514
Cu 3.176 4.761 3.514
Cu 4.764 7.142 2.075
Se 1.588 5.349 6.404
Se 1.588 8.934 6.404
Se 4.764 0.588 0.624
Se 4.764 4.173 0.624
Cl 1.588 7.142 2.424
Cl 4.764 2.381 4.604
O 0.234 5.620 5.347
O 0.234 8.663 5.347
O 1.588 1.069 3.519
O 1.588 1.143 6.512
O 1.588 3.618 6.512
O 1.588 3.692 3.519
O 2.942 5.620 5.347
O 2.942 8.663 5.347
O 3.410 0.859 1.681
O 3.410 3.902 1.681
O 4.764 5.831 3.509
O 4.764 5.904 0.516
O 4.764 8.379 0.516
O 4.764 8.453 3.509
O 6.118 0.859 1.681
O 6.118 3.902 1.681
```

***

# 4
A relaxed Hf2Mn2Al5Pd crystal. Source: Alexandria, functional GGA-PBE.

## Properties
The calculation puts the formation energy at -32.18 kJ/mol of atoms. As for the calculated volume: 16.1 A^3/atom. The density of states at the Fermi level comes out at 6.63 states/eV/f.u.

extended XYZ file:
```
20
Lattice="8.948 0.000 0.000 0.000 8.948 0.000 0.000 0.000 4.011" Properties=species:S:1:pos:R:3 pbc="T T T"
Hf 1.597 2.877 0.000
Hf 2.877 7.351 0.000
Hf 6.070 1.597 0.000
Hf 7.351 6.070 0.000
Mn 1.036 5.510 0.000
Mn 3.438 1.036 0.000
Mn 5.510 7.912 0.000
Mn 7.912 3.438 0.000
Al 0.000 4.474 2.006
Al 0.586 7.092 2.006
Al 1.856 0.586 2.006
Al 2.618 5.060 2.006
Al 3.888 2.618 2.006
Al 4.474 0.000 2.006
Al 5.060 6.330 2.006
Al 6.330 3.888 2.006
Al 7.092 8.362 2.006
Al 8.362 1.856 2.006
Pd 0.000 0.000 0.000
Pd 4.474 4.474 0.000
```

***

# 5
A relaxed MgRhCl crystal. Source: Alexandria, functional GGA-PBE.

## Properties
The formation energy (no corrections) comes out at -0.29 eV/atom. As for the calculated volume: 20.5 A^3/atom. The density of states at the Fermi level comes out at 2.06 states/eV/f.u.

extended XYZ file:
```
12
Lattice="4.990 0.000 0.000 0.000 9.283 0.000 0.000 0.000 5.311" Properties=species:S:1:pos:R:3 pbc="T T T"
Mg 0.008 2.321 0.427
Mg 2.487 6.963 3.082
Mg 2.503 2.321 2.229
Mg 4.982 6.963 4.885
Rh 0.008 2.321 3.059
Rh 2.487 6.963 0.403
Rh 2.503 2.321 4.908
Rh 4.982 6.963 2.252
Cl 0.000 0.000 2.656
Cl 0.000 4.642 2.656
Cl 2.495 0.000 0.000
Cl 2.495 4.642 0.000
```

***

# 6
A relaxed LaZr2W crystal. Source: Alexandria, functional GGA-PBE.

## Properties
The calculation puts the formation energy at 16.91 kJ/mol of atoms. As for the calculated volume: 23.9 A^3/atom. The density of states at the Fermi level comes out at 6.06 states/eV/f.u.

extended XYZ file:
```
4
Lattice="3.422 0.000 0.000 0.000 3.422 0.000 0.000 0.000 8.150" Properties=species:S:1:pos:R:3 pbc="T T T"
La 0.000 0.000 0.000
Zr 1.711 1.711 2.503
Zr 1.711 1.711 5.647
W 0.000 0.000 4.075
```

***

# 7
A relaxed LiTmAlNi crystal. Source: Alexandria, functional GGA-PBE.

## Properties
The calculation puts the formation energy at -36.45 kJ/mol of atoms. As for the calculated volume: 16.3 A^3/atom. The density of states at the Fermi level comes out at 5.59 states/eV/f.u.

extended XYZ file:
```
16
Lattice="6.385 0.000 0.000 0.000 6.385 0.000 0.000 0.000 6.385" Properties=species:S:1:pos:R:3 pbc="T T T"
Li 0.000 0.000 0.000
Li 0.000 3.192 3.192
Li 3.192 0.000 3.192
Li 3.192 3.192 0.000
Tm 1.596 1.596 1.596
Tm 1.596 4.789 4.789
Tm 4.789 1.596 4.789
Tm 4.789 4.789 1.596
Al 1.596 1.596 4.789
Al 1.596 4.789 1.596
Al 4.789 1.596 1.596
Al 4.789 4.789 4.789
Ni 0.000 0.000 3.192
Ni 0.000 3.192 0.000
Ni 3.192 0.000 0.000
Ni 3.192 3.192 3.192
```

***

# 8
A relaxed Ta2Ni3Pt2 crystal. Source: Alexandria, functional GGA-PBE.

## Properties
The calculation puts the formation energy at -32.98 kJ/mol of atoms. As for the calculated volume: 14.4 A^3/atom. The density of states at the Fermi level comes out at 5.88 states/eV/f.u.

extended XYZ file:
```
14
Lattice="8.906 0.000 0.000 0.000 3.750 0.000 -0.646 0.000 6.019" Properties=species:S:1:pos:R:3 pbc="T T T"
Ta 1.002 0.000 2.361
Ta 2.805 1.875 3.658
Ta 5.455 1.875 2.361
Ta 7.258 0.000 3.658
Ni 0.000 0.000 0.000
Ni 1.767 1.875 0.787
Ni 2.040 0.000 5.232
Ni 4.453 1.875 0.000
Ni 6.220 0.000 0.787
Ni 6.493 1.875 5.232
Pt 0.203 1.875 4.376
Pt 3.604 0.000 1.644
Pt 4.656 0.000 4.376
Pt 8.057 1.875 1.644
```

***

# 9
A relaxed CaHoErMg crystal. Source: Alexandria, functional GGA-PBE.

## Properties
The calculation puts the formation energy at 9.70 kJ/mol of atoms. As for the calculated volume: 30.2 A^3/atom. The density of states at the Fermi level comes out at 3.85 states/eV/f.u.

extended XYZ file:
```
16
Lattice="7.847 0.000 0.000 0.000 7.847 0.000 0.000 0.000 7.847" Properties=species:S:1:pos:R:3 pbc="T T T"
Ca 0.000 0.000 0.000
Ca 0.000 3.923 3.923
Ca 3.923 0.000 3.923
Ca 3.923 3.923 0.000
Ho 1.962 1.962 1.962
Ho 1.962 5.885 5.885
Ho 5.885 1.962 5.885
Ho 5.885 5.885 1.962
Er 1.962 1.962 5.885
Er 1.962 5.885 1.962
Er 5.885 1.962 1.962
Er 5.885 5.885 5.885
Mg 0.000 0.000 3.923
Mg 0.000 3.923 0.000
Mg 3.923 0.000 0.000
Mg 3.923 3.923 3.923
```

***

# 10
A relaxed TeHAuI2 crystal. Source: Alexandria, functional GGA-PBE.

## Properties
The final energy is -9.9 eV/cell. As for the calculated volume: 25.0 A^3/atom. The density of states at the Fermi level comes out at 3.15 states/eV/f.u.

extended XYZ file:
```
5
Lattice="5.703 0.000 0.000 0.000 5.703 0.000 0.000 0.000 3.843" Properties=species:S:1:pos:R:3 pbc="T T T"
Te 0.000 0.000 0.000
H 0.000 0.000 1.921
Au 2.852 2.852 0.000
I 0.000 2.852 1.921
I 2.852 0.000 1.921
```

***

# 11
A relaxed Ca2ScSb crystal. Source: Alexandria, functional GGA-PBE.

## Properties
The formation energy (no corrections) comes out at -0.14 eV/atom. As for the calculated volume: 30.7 A^3/atom. The density of states at the Fermi level comes out at 4.46 states/eV/f.u.

extended XYZ file:
```
12
Lattice="3.606 0.000 0.000 -1.803 3.123 0.000 0.000 0.000 32.695" Properties=species:S:1:pos:R:3 pbc="T T T"
Ca 0.000 0.000 8.005
Ca 0.000 0.000 24.690
Ca 0.000 2.082 13.792
Ca 0.000 2.082 29.801
Ca 1.803 1.041 2.893
Ca 1.803 1.041 18.903
Sc 0.000 0.000 0.000
Sc 0.000 2.082 21.796
Sc 1.803 1.041 10.898
Sb 0.000 0.000 16.347
Sb 0.000 2.082 5.449
Sb 1.803 1.041 27.246
```

***

# 12
A relaxed Y3Ag crystal. Source: Alexandria, functional GGA-PBE.

## Properties
The calculation puts the formation energy at 8.19 kJ/mol of atoms. As for the calculated volume: 27.9 A^3/atom. The density of states at the Fermi level comes out at 4.65 states/eV/f.u.

extended XYZ file:
```
16
Lattice="7.642 0.000 0.000 0.000 7.642 0.000 0.000 0.000 7.642" Properties=species:S:1:pos:R:3 pbc="T T T"
Y 0.000 0.000 0.000
Y 0.000 3.821 3.821
Y 1.911 1.911 1.911
Y 1.911 1.911 5.732
Y 1.911 5.732 1.911
Y 1.911 5.732 5.732
Y 3.821 0.000 3.821
Y 3.821 3.821 0.000
Y 5.732 1.911 1.911
Y 5.732 1.911 5.732
Y 5.732 5.732 1.911
Y 5.732 5.732 5.732
Ag 0.000 0.000 3.821
Ag 0.000 3.821 0.000
Ag 3.821 0.000 0.000
Ag 3.821 3.821 3.821
```

***

# 13
A relaxed Rb3Fe4HgI12 crystal. Source: Alexandria, functional GGA-PBE.

## Properties
The formation energy (no corrections) comes out at -0.44 eV/atom. As for the calculated volume: 61.7 A^3/atom. The density of states at the Fermi level comes out at 17.72 states/eV/f.u.

extended XYZ file:
```
20
Lattice="8.632 4.984 4.781 -8.632 4.984 4.781 0.000 -9.967 4.781" Properties=species:S:1:pos:R:3 pbc="T T T"
Rb -4.578 -2.038 4.781
Rb -4.578 2.038 9.561
Rb 0.524 4.984 4.781
Fe -3.971 -6.878 7.171
Fe 0.000 0.000 7.171
Fe -3.971 6.878 7.171
Fe 7.942 0.000 7.171
Hg 0.000 0.000 0.000
I -5.274 -4.732 7.219
I -6.782 0.000 7.171
I -1.461 -6.933 7.122
I -5.274 4.732 7.122
I -2.540 0.000 7.171
I 3.391 -5.874 7.171
I 1.270 -2.199 7.171
I 1.270 2.199 7.171
I -1.461 6.933 7.219
I 6.735 -2.201 7.219
I 3.391 5.874 7.171
I 6.735 2.201 7.122
```

***

# 14
A relaxed RbCdSnSe3 crystal. Source: Alexandria, functional GGA-PBE.

## Properties
The formation energy (no corrections) comes out at -0.66 eV/atom. As for the calculated volume: 33.0 A^3/atom. The density of states at the Fermi level comes out at 3.62 states/eV/f.u.

extended XYZ file:
```
12
Lattice="9.520 0.000 0.000 0.000 4.197 0.000 -3.057 0.000 9.925" Properties=species:S:1:pos:R:3 pbc="T T T"
Rb 1.232 1.049 2.434
Rb 5.230 3.148 7.491
Cd -1.025 1.049 6.097
Cd 7.487 3.148 3.828
Sn 0.529 3.148 8.747
Sn 5.934 1.049 1.178
Se -1.456 1.049 8.732
Se 0.389 3.148 5.216
Se 3.953 3.148 1.519
Se 2.509 1.049 8.406
Se 6.073 1.049 4.709
Se 7.919 3.148 1.192
```

***

# 15
A relaxed LaPuCoNi crystal. Source: Alexandria, functional GGA-PBE.

## Properties
The calculation puts the formation energy at 0.72 kJ/mol of atoms. As for the calculated volume: 20.1 A^3/atom. The density of states at the Fermi level comes out at 12.73 states/eV/f.u.

extended XYZ file:
```
16
Lattice="6.857 0.000 0.000 0.000 6.857 0.000 0.000 0.000 6.857" Properties=species:S:1:pos:R:3 pbc="T T T"
La 0.000 0.000 0.000
La 0.000 3.428 3.428
La 3.428 0.000 3.428
La 3.428 3.428 0.000
Pu 0.000 0.000 3.428
Pu 0.000 3.428 0.000
Pu 3.428 0.000 0.000
Pu 3.428 3.428 3.428
Co 1.714 1.714 1.714
Co 1.714 5.143 5.143
Co 5.143 1.714 5.143
Co 5.143 5.143 1.714
Ni 1.714 1.714 5.143
Ni 1.714 5.143 1.714
Ni 5.143 1.714 1.714
Ni 5.143 5.143 5.143
```

***

# 16
A relaxed ReP2PtCl crystal. Source: Alexandria, functional GGA-PBE.

## Properties
The formation energy (no corrections) comes out at 0.87 eV/atom. As for the calculated volume: 19.8 A^3/atom. The density of states at the Fermi level comes out at 4.75 states/eV/f.u.

extended XYZ file:
```
5
Lattice="4.631 0.000 0.000 0.000 4.631 0.000 0.000 0.000 4.624" Properties=species:S:1:pos:R:3 pbc="T T T"
Re 0.000 0.000 0.000
P 0.000 2.316 0.000
P 2.316 0.000 0.000
Pt 2.316 2.316 2.312
Cl 0.000 0.000 2.312
```

***

# 17
A relaxed Pm8Co3CuBr4 crystal. Source: Alexandria, functional GGA-PBE.

## Properties
The formation energy (no corrections) comes out at -0.72 eV/atom. As for the calculated volume: 27.0 A^3/atom. The density of states at the Fermi level comes out at 9.59 states/eV/f.u.

extended XYZ file:
```
16
Lattice="4.023 2.323 7.719 -4.023 2.323 7.719 0.000 -4.645 7.719" Properties=species:S:1:pos:R:3 pbc="T T T"
Pm -2.089 -1.206 13.072
Pm 0.000 0.000 5.351
Pm 0.000 -2.412 10.084
Pm -2.089 1.206 10.084
Pm 2.089 -1.206 13.072
Pm 0.000 2.412 13.072
Pm 0.000 0.000 17.805
Pm 2.089 1.206 10.084
Co -4.023 0.000 11.578
Co -2.011 1.161 3.859
Co 2.011 1.161 3.859
Cu 0.000 0.000 11.578
Br 0.000 0.000 0.000
Br -2.011 -1.161 7.719
Br -2.011 1.161 15.438
Br 0.000 2.323 7.719
```

***

# 18
A relaxed Sc5Cd2Hg2 crystal. Source: Alexandria, functional GGA-PBE.

## Properties
The calculation puts the formation energy at -20.26 kJ/mol of atoms. As for the calculated volume: 23.6 A^3/atom. The density of states at the Fermi level comes out at 9.12 states/eV/f.u.

extended XYZ file:
```
18
Lattice="7.826 -3.934 0.000 7.826 3.934 0.000 0.000 0.000 6.886" Properties=species:S:1:pos:R:3 pbc="T T T"
Sc 0.000 0.000 0.000
Sc 5.664 2.447 4.613
Sc 5.664 1.487 1.170
Sc 9.987 2.447 4.613
Sc 9.987 1.487 1.170
Sc 7.826 0.000 3.443
Sc 5.664 -1.487 5.716
Sc 5.664 -2.447 2.273
Sc 9.987 -1.487 5.716
Sc 9.987 -2.447 2.273
Cd 3.375 0.000 0.000
Cd 4.451 0.000 3.443
Cd 11.200 0.000 3.443
Cd 12.276 0.000 0.000
Hg 7.826 2.779 2.621
Hg 7.826 1.155 6.063
Hg 7.826 -1.155 0.822
Hg 7.826 -2.779 4.265
```

***

# 19
A relaxed MnZn2Se crystal. Source: Alexandria, functional GGA-PBE.

## Properties
The formation energy (no corrections) comes out at 0.16 eV/atom. As for the calculated volume: 17.0 A^3/atom. The density of states at the Fermi level comes out at 1.86 states/eV/f.u.

extended XYZ file:
```
4
Lattice="2.787 0.000 0.000 0.000 2.787 0.000 0.000 0.000 8.744" Properties=species:S:1:pos:R:3 pbc="T T T"
Mn 0.000 0.000 0.000
Zn 1.394 1.394 1.734
Zn 1.394 1.394 7.011
Se 0.000 0.000 4.372
```

***

# 20
A relaxed CrSeBr2 crystal. Source: Alexandria, functional GGA-PBE.

## Properties
The formation energy (no corrections) comes out at 0.16 eV/atom. As for the calculated volume: 27.5 A^3/atom. The density of states at the Fermi level comes out at 4.32 states/eV/f.u.

extended XYZ file:
```
4
Lattice="3.196 0.000 0.000 0.000 3.196 0.000 0.000 0.000 10.784" Properties=species:S:1:pos:R:3 pbc="T T T"
Cr 0.000 0.000 0.000
Se 0.000 0.000 5.392
Br 1.598 1.598 1.636
Br 1.598 1.598 9.148
```

***

# 21
A relaxed LiIr3O crystal. Source: Alexandria, functional GGA-PBE.

## Properties
The formation energy (no corrections) comes out at 0.60 eV/atom. As for the calculated volume: 13.8 A^3/atom. The density of states at the Fermi level comes out at 3.72 states/eV/f.u.

extended XYZ file:
```
5
Lattice="4.105 0.000 0.000 0.000 4.105 0.000 0.000 0.000 4.105" Properties=species:S:1:pos:R:3 pbc="T T T"
Li 0.000 0.000 0.000
Ir 0.000 2.053 2.053
Ir 2.053 0.000 2.053
Ir 2.053 2.053 0.000
O 2.053 2.053 2.053
```